(1)
MgHg3Ge: optimized geometry, PBE-GGA.

a b c (Å): 5.287 5.287 5.287
angles (deg): 90.00 90.00 90.00
Element x y z (fractional)
Mg  0.000  0.000  0.000
Hg  0.000  0.000  0.500
Hg  0.000  0.500  0.000
Hg  0.500  0.000  0.000
Ge  0.500  0.500  0.500

Magnetization   0.00 Bohr magnetons per cell
Formation enthalpy at 0 K   479 meV/atom
SG   Pm-3m (221)


(2)
CdFe2Si: optimized geometry, PBE-GGA.

a b c (Å): 5.097 5.097 5.097
angles (deg): 146.29 129.74 61.89
Element x y z (fractional)
Cd  0.000  0.000  0.000
Fe  0.276  0.776  0.500
Fe  0.510  0.510  0.000
Si  0.726  0.226  0.500

Magnetization   4.26 Bohr magnetons per cell
Formation energy (no corrections)   0.228 eV/atom
SG   Imm2 (44)


(3)
HfTi3C4: optimized geometry, PBE-GGA.

a b c (Å): 4.429 4.429 4.429
angles (deg): 90.00 90.00 90.00
Element x y z (fractional)
Hf  0.000  0.000  0.000
Ti  0.000  0.500  0.500
Ti  0.500  0.000  0.500
Ti  0.500  0.500  0.000
C  0.000  0.000  0.500
C  0.000  0.500  0.000
C  0.500  0.000  0.000
C  0.500  0.500  0.500

Magnetization   0.00 Bohr magnetons per cell
Formation enthalpy at 0 K   -799 meV/atom
SG   Pm-3m (221)


What did the first record say?
MgHg3Ge: optimized geometry, PBE-GGA.

a b c (Å): 5.287 5.287 5.287
angles (deg): 90.00 90.00 90.00
Element x y z (fractional)
Mg  0.000  0.000  0.000
Hg  0.000  0.000  0.500
Hg  0.000  0.500  0.000
Hg  0.500  0.000  0.000
Ge  0.500  0.500  0.500

Magnetization   0.00 Bohr magnetons per cell
Formation enthalpy at 0 K   479 meV/atom
SG   Pm-3m (221)